Here is crystalline PaVIO4 at its relaxed geometry from the Alexandria database. Energies are from GGA+U.

a = 10.970 Å, b = 6.814 Å, c = 6.969 Å
α = 90.00°, β = 105.33°, γ = 90.00°
Space group C2/m (No. 12)
Unique sites:
Pa 0.244 0.000 0.369 (multiplicity 4)
V 0.128 0.000 0.781 (multiplicity 4)
I 0.010 0.500 0.251 (multiplicity 4)
O 0.039 0.000 0.301 (multiplicity 4)
O 0.200 0.000 0.040 (multiplicity 4)
O 0.201 0.192 0.643 (multiplicity 8)

## Properties
Calculated total energy in Ry/atom: -0.5766